1.
The following is a PBE calculation of CoHg2As after structural relaxation, from Alexandria.

The value obtained for the density of states at the Fermi level is 0.755 states/eV/atom. The energy of formation from the pure elements is 0.190 eV/atom. The mass density comes out at 11.3 g/cm³.

It has space group C2/m (No. 12), with a = 14.7100 Å, b = 2.8849 Å, c = 3.8329 Å, α = 90.00°, β = 105.01° and γ = 90.00°. The inequivalent atoms are Co at (0.0000, 0.0000, 0.0000), Hg at (0.1768, 0.5000, 0.1769) and As at (0.0000, 0.5000, 0.5000).


2.
The following is a PBE calculation of TlWSe2 after structural relaxation, from Alexandria.

The value obtained for the density of states at the Fermi level is 0.570 states/eV/atom. The energy above the most stable polymorph in this dataset is 1144 meV/atom. The mass density comes out at 10.7 g/cm³. As for the uncorrected formation energy: 941 meV per atom.

It has space group I-4m2 (No. 119), with a = 4.2612 Å, b = 4.2612 Å, c = 9.3571 Å, α = 90.00°, β = 90.00° and γ = 90.00°. The inequivalent atoms are Tl at (0.0000, 0.0000, 0.0000), W at (0.0000, 0.5000, 0.7500), Se at (0.0000, 0.0000, 0.5000) and Se at (0.0000, 0.5000, 0.2500).


3.
The following is a PBE calculation of LaTbDyTl after structural relaxation, from Alexandria.

The value obtained for the density of states at the Fermi level is 1.903 states/eV/atom. The energy above the most stable polymorph in this dataset is 52 meV/atom. The energy of formation from the pure elements is -0.010 eV/atom. The mass density comes out at 9.4 g/cm³.

It has space group F-43m (No. 216), with a = 7.7804 Å, b = 7.7804 Å, c = 7.7804 Å, α = 90.00°, β = 90.00° and γ = 90.00°. The inequivalent atoms are La at (0.0000, 0.0000, 0.0000), Tb at (0.2500, 0.2500, 0.7500), Dy at (0.2500, 0.2500, 0.2500) and Tl at (0.0000, 0.0000, 0.5000).


mass density of number 1 (CoHg2As)?
11.3 g/cm³